# ZrMn2In

ZrMn2In after structural relaxation (PBE, Alexandria).

Computed properties:
Size of the total moment   0.242 μB per formula unit
DFT formation energy   0.003 eV/atom
E_tot   -7.404 eV/atom
Density   7.5 Mg/m³

The structure in POSCAR format:
```
ZrMn2In
1.0
3.0588 0.0000 0.0000
0.0000 3.0588 0.0000
0.0000 0.0000 7.4357
Zr Mn In
1 2 1
direct
0.0000 0.0000 0.0000 Zr
0.0000 0.0000 0.5757 Mn
0.5000 0.5000 0.7338 Mn
0.5000 0.5000 0.3165 In
```